Below is ZrCu5 after structural relaxation, with properties calculated at the GGA-PBE level.

DFT formation energy: -125.9 meV/atom
Size of the total moment: 0.000 μB/f.u.
Space-group type: F-43m (216)
Density of states at the Fermi level: 2.594 states/eV/cell

Geometry as CIF:
```
data_ZrCu5
_symmetry_space_group_name_H-M 'P 1'
_symmetry_Int_Tables_number 1
_cell_length_a 4.881
_cell_length_b 4.881
_cell_length_c 4.881
_cell_angle_alpha 60.00
_cell_angle_beta 60.00
_cell_angle_gamma 60.00
loop_
_symmetry_equiv_pos_as_xyz
'x,y,z'
loop_
_atom_site_label
_atom_site_fract_x
_atom_site_fract_y
_atom_site_fract_z
Zr1 0.000 0.000 0.000
Cu1 0.376 0.376 0.376
Cu2 0.376 0.376 0.873
Cu3 0.376 0.873 0.376
Cu4 0.750 0.750 0.750
Cu5 0.873 0.376 0.376
```


Below is Zr2Cu after structural relaxation, with properties calculated at the GGA-PBE level.

DFT formation energy: 604.0 meV/atom
Size of the total moment: 0.000 μB/f.u.
Space-group type: Fd-3m (227)
Density of states at the Fermi level: 5.672 states/eV/cell

Geometry as CIF:
```
data_Zr2Cu
_symmetry_space_group_name_H-M 'P 1'
_symmetry_Int_Tables_number 1
_cell_length_a 5.629
_cell_length_b 5.629
_cell_length_c 5.629
_cell_angle_alpha 60.00
_cell_angle_beta 60.00
_cell_angle_gamma 60.00
loop_
_symmetry_equiv_pos_as_xyz
'x,y,z'
loop_
_atom_site_label
_atom_site_fract_x
_atom_site_fract_y
_atom_site_fract_z
Zr1 0.000 0.000 0.000
Zr2 0.000 0.000 0.500
Zr3 0.000 0.500 0.000
Zr4 0.500 0.000 0.000
Cu1 0.375 0.375 0.375
Cu2 0.625 0.625 0.625
```


Below is Zr2Cu3 after structural relaxation, with properties calculated at the GGA-PBE level.

DFT formation energy: 246.6 meV/atom
Size of the total moment: 0.001 μB/f.u.
Space-group type: P-3m1 (164)
Density of states at the Fermi level: 4.875 states/eV/cell

Geometry as CIF:
```
data_Zr2Cu3
_symmetry_space_group_name_H-M 'P 1'
_symmetry_Int_Tables_number 1
_cell_length_a 4.388
_cell_length_b 4.388
_cell_length_c 5.688
_cell_angle_alpha 90.00
_cell_angle_beta 90.00
_cell_angle_gamma 120.00
loop_
_symmetry_equiv_pos_as_xyz
'x,y,z'
loop_
_atom_site_label
_atom_site_fract_x
_atom_site_fract_y
_atom_site_fract_z
Zr1 0.333 0.667 0.316
Zr2 0.667 0.333 0.684
Cu1 0.000 0.000 0.500
Cu2 0.333 0.667 0.841
Cu3 0.667 0.333 0.159
```


Repeat the first record exactly.
Below is ZrCu5 after structural relaxation, with properties calculated at the GGA-PBE level.

DFT formation energy: -125.9 meV/atom
Size of the total moment: 0.000 μB/f.u.
Space-group type: F-43m (216)
Density of states at the Fermi level: 2.594 states/eV/cell

Geometry as CIF:
```
data_ZrCu5
_symmetry_space_group_name_H-M 'P 1'
_symmetry_Int_Tables_number 1
_cell_length_a 4.881
_cell_length_b 4.881
_cell_length_c 4.881
_cell_angle_alpha 60.00
_cell_angle_beta 60.00
_cell_angle_gamma 60.00
loop_
_symmetry_equiv_pos_as_xyz
'x,y,z'
loop_
_atom_site_label
_atom_site_fract_x
_atom_site_fract_y
_atom_site_fract_z
Zr1 0.000 0.000 0.000
Cu1 0.376 0.376 0.376
Cu2 0.376 0.376 0.873
Cu3 0.376 0.873 0.376
Cu4 0.750 0.750 0.750
Cu5 0.873 0.376 0.376
```


- Among the records above, which one has the highest size of the total moment?
  Zr2Cu3


Repeat the first record exactly.
Below is ZrCu5 after structural relaxation, with properties calculated at the GGA-PBE level.

DFT formation energy: -125.9 meV/atom
Size of the total moment: 0.000 μB/f.u.
Space-group type: F-43m (216)
Density of states at the Fermi level: 2.594 states/eV/cell

Geometry as CIF:
```
data_ZrCu5
_symmetry_space_group_name_H-M 'P 1'
_symmetry_Int_Tables_number 1
_cell_length_a 4.881
_cell_length_b 4.881
_cell_length_c 4.881
_cell_angle_alpha 60.00
_cell_angle_beta 60.00
_cell_angle_gamma 60.00
loop_
_symmetry_equiv_pos_as_xyz
'x,y,z'
loop_
_atom_site_label
_atom_site_fract_x
_atom_site_fract_y
_atom_site_fract_z
Zr1 0.000 0.000 0.000
Cu1 0.376 0.376 0.376
Cu2 0.376 0.376 0.873
Cu3 0.376 0.873 0.376
Cu4 0.750 0.750 0.750
Cu5 0.873 0.376 0.376
```


- Which formula does entry 1 have?
  ZrCu5